Material: SrY2O4
Method: DFT, GGA-PBEsol
State: relaxed

CIF file:
```
data_SrY2O4
_cell_length_a 9.984
_cell_length_b 3.393
_cell_length_c 11.836
_cell_angle_alpha 90.00
_cell_angle_beta 90.00
_cell_angle_gamma 90.00
_space_group_name_H-M_alt 'P n m a'
_space_group_IT_number 62
_space_group_name_Hall '-P 2ac 2n'
loop_
_atom_site_label
_atom_site_type_symbol
_atom_site_fract_x
_atom_site_fract_y
_atom_site_fract_z
_atom_site_occupancy
Sr1 Sr 0.248 0.250 0.150 1
Y1 Y 0.076 0.250 0.889 1
Y2 Y 0.079 0.250 0.388 1
O1 O 0.014 0.750 0.784 1
O2 O 0.074 0.250 0.578 1
O3 O 0.127 0.750 0.019 1
O4 O 0.212 0.750 0.324 1
```

Computed properties:
Theoretical density, g cm⁻³: 5.5
Formation energy without anion corrections, eV/atom: -3.399
DFT total energy, eV/atom: -8.61
Density of states at the Fermi level, states/eV/f.u.: 0.0
Magnetization, μB per atom: 0.000